The following is a DFT calculation (GGA-PBE) of a relaxed SrPr2H crystal.

Values from the calculation:
As for the space group: No. 166. As for the volume: 31.35 Å³/atom. The magnetization comes out at 0.00 μB per cell. As for the total energy: -3.652 eV per atom.

Cell lengths 3.7822, 3.7822, 10.3542 Å; angles 79.48, 79.48, 60.00 degrees
Fractional coordinates of all 4 atoms:
Pr: 0.1202 0.1202 0.6395
Pr: 0.8798 0.8798 0.3605
Sr: 0.0000 0.0000 0.0000
H: 0.5000 0.5000 0.5000